Entry from Alexandria: a relaxed structure of Ac2ZrCrO6 (PBE with a Hubbard U).

Output
crystal system = monoclinic
symmetry = No. 12
VASP energy = -8.43 eV/atom

Cell lengths 6.0118, 6.0118, 5.8216 Å; angles 118.42, 118.42, 57.10 degrees
With the nearest neighbours (Å) after each atom.
Sites, in units of the cell vectors:
Ac (0.2471, 0.2471, 0.2282)  5 O 2.43-2.60
Ac (0.7529, 0.7529, 0.7718)  5 O 2.43-2.60
Zr (0.0000, 0.0000, 0.5000)  6 O 2.10-2.13
Cr (0.5000, 0.5000, 0.0000)  4 O 2.09
O (0.1922, 0.6886, 0.1886)  1 Cr 2.09, 1 Zr 2.13
O (0.2278, 0.2278, 0.6249)  1 Zr 2.10
O (0.3114, 0.8078, 0.8114)  1 Cr 2.09, 1 Zr 2.13
O (0.6886, 0.1922, 0.1886)  1 Cr 2.09, 1 Zr 2.13
O (0.7722, 0.7722, 0.3751)  1 Zr 2.10
O (0.8078, 0.3114, 0.8114)  1 Cr 2.09, 1 Zr 2.13